Compound: DyHo5In2
Source: the Alexandria database
Functional: GGA-PBE
Structure: relaxed

abc: 3.533 10.486 12.668
angles: 90.00 90.00 90.00
Space group Immm (No. 71)
Unique sites:
Dy 0.000 0.000 0.000 x2
Ho 0.000 0.228 0.366 x8
Ho 0.000 0.500 0.000 x2
In 0.000 0.500 0.260 x4

## Properties
Energy ... -4.2882 eV per atom
Theoretical density ... 8.61 g/cm3
Energy relative to the elements ... -129 kJ/mol of formula units


Compound: Dy4Ho7In
Source: the Alexandria database
Functional: GGA-PBE
Structure: relaxed

abc: 22.159 5.500 6.331
angles: 90.00 100.84 90.00
Space group C2/m (No. 12)
Unique sites:
Dy 0.116 0.000 0.349 x4
Dy 0.209 0.000 0.893 x4
Ho 0.000 0.500 0.500 x2
Ho 0.047 0.000 0.811 x4
Ho 0.136 0.500 0.005 x4
Ho 0.210 0.500 0.568 x4
In 0.000 0.500 0.000 x2

## Properties
Energy ... -4.4015 eV per atom
Energy above the lowest structure with this stoichiometry ... 0.000 eV per atom
Theoretical density ... 8.41 g/cm3
Energy relative to the elements ... 36 kJ/mol of formula units


Compound: DyHo6In
Source: the Alexandria database
Functional: GGA-PBE
Structure: relaxed

abc: 6.583 11.294 6.500
angles: 90.00 90.02 90.00
Space group C2/m (No. 12)
Unique sites:
Dy 0.000 0.000 0.000 x2
Ho 0.070 0.500 0.252 x4
Ho 0.223 0.216 0.252 x8
In 0.000 0.000 0.500 x2

## Properties
Energy ... -4.3015 eV per atom
Energy above the lowest structure with this stoichiometry ... 0.164 eV per atom
Theoretical density ... 8.71 g/cm3
Energy relative to the elements ... 38 kJ/mol of formula units


Compound: Dy2Ho6In3
Source: the Alexandria database
Functional: GGA-PBE
Structure: relaxed

abc: 4.511 4.511 33.270
angles: 90.00 90.00 90.00
Space group I4/mmm (No. 139)
Unique sites:
Dy 0.000 0.000 0.045 x4
Ho 0.000 0.000 0.213 x4
Ho 0.000 0.500 0.127 x8
In 0.000 0.000 0.306 x4
In 0.000 0.000 0.500 x2

## Properties
Energy ... -4.0603 eV per atom
Theoretical density ... 8.14 g/cm3
Energy relative to the elements ... 21 kJ/mol of formula units


Which value of energy relative to the elements does entry 2 give? 36 kJ/mol of formula units